First-principles (PBE) data for a relaxed YInTeS crystal, as listed in the Alexandria database.

Output
Total DFT energy (no corrections), eV for the cell shown: -63.5
Total magnetic moment, μB/cell: 0.0
Theoretical density, Mg/m³: 4.91

a b c (Å): 4.2227 4.2227 23.8831
angles (deg): 90.00 90.00 120.00
Space group R3m (No. 160, hexagonal axes)
Unique sites:
Y 0.0000 0.0000 0.0000 x3
In 0.0000 0.0000 0.8388 x3
Te 0.0000 0.0000 0.4175 x3
S 0.0000 0.0000 0.6162 x3